No. 1
15
Lattice="-2.268 0.786 4.839 -1.559 -5.581 3.191 4.330 0.336 4.990" Properties=species:S:1:pos:R:3 comment="GGA-PBE TbU4O10, relaxed" spacegroup="I4/m (87)" raw_formation_energy_mev_per_atom=-3368 crystal_system=tetragonal pbc="T T T"
U -0.222 -2.009 3.237
U 0.925 -0.431 6.533
U -0.422 -4.027 6.486
U 0.725 -2.449 9.782
O 1.942 -0.889 8.572
O -0.075 -0.048 4.476
O 3.062 -1.277 6.184
O 0.578 -4.411 8.544
O -0.541 -4.023 10.933
O 0.819 -2.426 5.300
O -2.558 -3.182 6.836
O -0.315 -2.033 7.720
O -1.439 -3.570 4.447
O 1.044 -0.436 2.087
Tb 0.000 0.000 0.000

***

No. 2
4
Lattice="-2.354 -1.697 -0.917 0.998 0.194 -2.918 4.626 -5.316 -2.035" Properties=species:S:1:pos:R:3 comment="GGA-PBE Co2CuPb, relaxed" spacegroup="Pm (6)" delta_e_f_mev_per_atom=387 crystal_system=monoclinic pbc="T T T"
Pb 3.076 -4.745 -4.162
Cu 2.598 -2.235 -2.530
Co 1.240 -0.174 -2.858
Co 0.166 -2.033 -1.713

***

No. 3
28
Lattice="-1.504 5.978 0.983 0.147 -1.339 8.367 14.051 3.485 0.311" Properties=species:S:1:pos:R:3 comment="GGA-PBE Sr3Sn2Ir2, relaxed" spacegroup="Pbcm (57)" delta_e_f_mev_per_atom=-535 crystal_system=orthorhombic pbc="T T T"
Sr 10.014 4.519 2.597
Sr 9.702 5.378 7.032
Sr 12.631 2.851 7.918
Sr 1.191 0.413 5.238
Sr 2.991 2.746 2.629
Sr 8.259 1.767 7.821
Sr 2.680 3.606 7.064
Sr 4.435 6.357 1.840
Sr 11.503 7.711 4.423
Sr 0.063 5.273 1.743
Sr 5.563 1.498 5.334
Sr 7.131 6.627 4.326
Sn -0.817 2.680 6.881
Sn 6.209 4.423 7.036
Sn 10.400 2.720 5.293
Sn 6.485 3.702 2.624
Sn 2.294 5.404 4.368
Sn 3.422 0.542 7.862
Sn -0.541 1.959 2.469
Sn 9.271 7.583 1.799
Ir 0.872 1.218 8.497
Ir 5.332 2.324 8.596
Ir 11.822 6.906 1.164
Ir 0.400 3.471 4.574
Ir 4.861 4.577 4.673
Ir 7.833 3.547 4.988
Ir 7.361 5.800 1.065
Ir 12.294 4.653 5.087

***

No. 4
4
Lattice="-0.180 -4.254 2.297 4.035 1.295 2.334 -4.494 1.792 0.021" Properties=species:S:1:pos:R:3 comment="GGA-PBE Cu2PPb, relaxed" spacegroup="Immm (71)" delta_e_f_mev_per_atom=276 crystal_system=orthorhombic pbc="T T T"
Cu 3.606 -2.767 4.331
Cu 2.177 -1.671 2.615
Pb 0.735 0.804 2.335
P -1.373 -1.971 2.317

***

No. 5
10
Lattice="6.120 0.017 0.000 -0.020 6.952 -0.603 3.051 3.077 4.319" Properties=species:S:1:pos:R:3 comment="GGA-PBE Ba2SiBPt6, relaxed" spacegroup="R-3m (166)" raw_formation_energy_mev_per_atom=-679 crystal_system=trigonal pbc="T T T"
Ba 6.112 2.762 2.384
Ba 3.039 7.284 1.332
Pt 3.049 3.757 1.881
Pt 4.723 4.900 -0.117
Pt 1.369 4.891 -0.117
Pt 6.102 6.289 1.835
Pt 4.428 5.146 3.834
Pt 7.781 5.155 3.834
B 3.050 3.485 -0.301
Si 0.000 0.000 0.000

***

No. 6
5
Lattice="4.192 0.000 0.000 0.000 4.192 0.000 0.000 0.000 3.713" Properties=species:S:1:pos:R:3 comment="GGA-PBE Ti2MnPtC, relaxed" spacegroup="P4/mmm (123)" delta_e_f_mev_per_atom=-614 crystal_system=tetragonal pbc="T T T"
Ti 0.000 2.096 0.000
Ti 2.096 0.000 0.000
Pt 2.096 2.096 1.856
Mn 0.000 0.000 1.856
C 0.000 0.000 0.000

***

No. 7
14
Lattice="6.002 0.661 -3.056 -1.668 5.802 -3.059 -0.499 -0.741 6.877" Properties=species:S:1:pos:R:3 comment="GGA-PBE RbCu2O4, relaxed" spacegroup="Fdd2 (43)" raw_formation_energy_mev_per_atom=-543 crystal_system=orthorhombic pbc="T T T"
O 1.017 3.202 2.401
O 3.852 3.286 0.494
O 3.742 3.897 -2.945
O 1.617 2.411 -1.407
O 4.741 1.244 -1.036
O 3.284 0.756 2.032
O 1.149 5.849 -2.107
O 0.641 0.968 4.390
Cu 2.497 5.357 -3.430
Cu 3.537 2.765 -1.426
Cu 2.882 2.666 2.012
Cu -0.327 2.027 3.066
Rb 0.192 0.284 -0.267
Rb 0.190 4.432 0.113

***

No. 8
5
Lattice="6.359 0.000 0.000 0.000 6.359 0.000 0.000 0.000 5.351" Properties=species:S:1:pos:R:3 comment="GGA-PBE RbTeI2Cl, relaxed" spacegroup="P4/mmm (123)" de_polymorph_mev_per_atom=0 raw_formation_energy_mev_per_atom=-705 crystal_system=tetragonal pbc="T T T"
Cl 0.000 0.000 2.676
I 0.000 3.180 0.000
I 3.180 0.000 0.000
Rb 3.180 3.180 2.676
Te 0.000 0.000 0.000

***

No. 9
11
Lattice="6.712 0.242 0.363 -0.797 7.383 -0.125 -0.797 -2.959 6.765" Properties=species:S:1:pos:R:3 comment="GGA-PBE Pr8AsRh2, relaxed" spacegroup="C2/m (12)" delta_e_f_mev_per_atom=-387 crystal_system=monoclinic pbc="T T T"
Pr 0.827 2.951 4.430
Pr 2.559 -0.304 5.259
Pr 4.291 1.715 2.573
Pr 2.559 4.970 1.745
Pr 0.711 2.286 0.391
Pr 4.407 2.380 6.612
Pr 0.711 -0.519 2.261
Pr 4.407 5.185 4.743
As 3.356 0.121 0.182
Rh -0.797 0.380 4.541
Rh -0.797 4.044 2.099

***

No. 10
8
Lattice="-3.995 -1.850 0.214 1.711 -3.845 -1.311 0.918 -5.935 11.197" Properties=species:S:1:pos:R:3 comment="GGA-PBE K2CaOs, relaxed" spacegroup="I-42d (122)" de_polymorph_mev_per_atom=448 delta_e_f_mev_per_atom=1211 crystal_system=tetragonal pbc="T T T"
Os 0.000 0.000 0.000
Os -2.109 -5.316 5.432
K -1.285 -9.492 7.419
K -2.113 -3.148 2.773
K 0.859 -4.090 2.004
K -0.194 -6.529 8.006
Ca 0.743 -6.314 4.669
Ca -1.142 -2.848 -0.548

***

No. 11
4
Lattice="4.415 -0.059 0.000 0.255 4.408 0.000 -2.335 -2.174 3.052" Properties=species:S:1:pos:R:3 comment="GGA-PBE Li2ZnMo, relaxed" spacegroup="I-4m2 (119)" delta_e_f_mev_per_atom=450 crystal_system=tetragonal pbc="T T T"
Zn 2.208 -0.030 1.526
Li 0.128 2.204 1.526
Li 0.000 0.000 0.000
Mo 2.335 2.174 0.000

***

No. 12
3
Lattice="-1.170 4.771 1.540 -2.033 1.042 4.613 3.896 -2.272 -2.481" Properties=species:S:1:pos:R:3 comment="GGA-PBE LiCdAu, relaxed" spacegroup="Imm2 (44)" de_polymorph_mev_per_atom=0 delta_e_f_mev_per_atom=-382 crystal_system=orthorhombic pbc="T T T"
Au -0.041 0.074 0.078
Li -2.098 3.808 4.031
Cd -1.065 1.932 2.045

***

no.,spin magnetization (Bohr magnetons per cell)
1,7.0
2,3.4
3,0.0
4,0.0
5,0.0
6,0.0
7,6.0
8,0.0
9,0.0
10,0.0
11,2.0
12,0.0